VASP calculation (GGA+U) on an optimized crystal structure of Sr2ScCo2O6.

Summary:
DFT total energy   -217.30 eV for the cell shown
Total magnetization   7.00 μB/f.u.
ρ   4.49 g/cm³

```
data_Sr2ScCo2O6
_cell_length_a 5.8829
_cell_length_b 5.8829
_cell_length_c 16.0727
_cell_angle_alpha 90.00
_cell_angle_beta 90.00
_cell_angle_gamma 120.00
_symmetry_space_group_name_H-M 'R -3 m'
_symmetry_Int_Tables_number 166
_symmetry_space_group_name_Hall '-R 3 2"'
loop_
_atom_site_label
_atom_site_type_symbol
_atom_site_fract_x
_atom_site_fract_y
_atom_site_fract_z
Sr1 Sr 0.0000 0.0000 0.2128
Sc1 Sc 0.0000 0.0000 0.0000
Co1 Co 0.0000 0.0000 0.4330
O1 O 0.0183 0.5092 0.7514
```